Here is crystalline PmCd8Hg2 at its relaxed geometry from Alexandria via LeMat-Bulk. Energies are from PBE.

```
PmCd8Hg2
1.0
9.0963 -3.0250 0.0000
9.0963 3.0250 0.0000
-0.5953 0.0000 4.9936
Pm Cd Hg
1 8 2
Direct
0.0000 0.0000 0.0000 Pm
0.1515 0.6651 0.4602 Cd
0.1793 0.1793 0.0786 Cd
0.3349 0.8485 0.5398 Cd
0.4141 0.4141 0.9702 Cd
0.5859 0.5859 0.0298 Cd
0.6651 0.1515 0.4602 Cd
0.8207 0.8207 0.9214 Cd
0.8485 0.3349 0.5398 Cd
0.2649 0.2649 0.6244 Hg
0.7351 0.7351 0.3756 Hg
```

Values from the calculation:
The calculation puts the total magnetization at 0.0 μB/cell. As for the symmetry: No. 12. The value obtained for the excess energy over the best structure of this formula in the dataset is 0.00 kJ/mol of atoms.